[1]
First-principles (PBE-GGA) data for a relaxed structure of In2NiAs, as listed in the Alexandria database. Values from VASP.

```
&SYSTEM
  ibrav = 0, nat = 4, ntyp = 3
/
ATOMIC_SPECIES
As 74.92 As.upf
Ni 58.69 Ni.upf
In 114.82 In.upf
CELL_PARAMETERS angstrom
6.584 0.019 -0.012
4.357 4.936 0.012
-5.085 -3.329 2.532
ATOMIC_POSITIONS crystal
As 0.324 0.824 0.500
Ni 0.481 0.481 0.000
In 0.695 0.195 0.500
In 0.000 0.000 0.000
```

Properties
The calculated density is 7337 kg/m3. The energy of formation from the pure elements comes out at -0.018 eV per atom. As for the calculated total energy: -3.995 eV per atom.

---

[2]
First-principles (PBE-GGA) data for a relaxed structure of SmAgPt, as listed in the Alexandria database. Values from VASP.

```
&SYSTEM
  ibrav = 0, nat = 6, ntyp = 3
/
ATOMIC_SPECIES
Pt 195.08 Pt.upf
Ag 107.87 Ag.upf
Sm 150.36 Sm.upf
CELL_PARAMETERS angstrom
7.680 0.000 0.000
0.000 4.128 0.000
0.000 0.000 4.128
ATOMIC_POSITIONS crystal
Pt 0.226 0.000 0.500
Ag 0.500 0.000 0.000
Pt 0.774 0.500 0.000
Sm 0.161 0.500 0.000
Ag 0.500 0.500 0.500
Sm 0.839 0.000 0.500
```

Properties
The calculated density is 11504 kg/m3. The energy of formation from the pure elements comes out at -0.783 eV per atom. As for the excess energy over the best structure of this formula in the dataset: 0 meV/atom. As for the calculated total energy: -5.320 eV per atom.

---

[3]
First-principles (PBE-GGA) data for a relaxed structure of HoPuTl, as listed in the Alexandria database. Values from VASP.

```
&SYSTEM
  ibrav = 0, nat = 6, ntyp = 3
/
ATOMIC_SPECIES
Ho 164.93 Ho.upf
Tl 204.38 Tl.upf
Pu 244.00 Pu.upf
CELL_PARAMETERS angstrom
-4.233 -2.494 2.832
1.332 -1.749 -5.227
3.882 -3.962 2.315
ATOMIC_POSITIONS crystal
Ho 0.333 0.667 0.343
Tl 0.333 0.667 0.843
Tl 0.667 0.333 0.343
Ho 0.667 0.333 0.843
Pu 0.000 0.000 0.343
Pu 0.000 0.000 0.843
```

Properties
The calculated density is 12168 kg/m3. The energy of formation from the pure elements comes out at 0.087 eV per atom. As for the excess energy over the best structure of this formula in the dataset: 109 meV/atom. As for the calculated total energy: -7.005 eV per atom.

---

[4]
First-principles (PBE-GGA) data for a relaxed structure of K2BaP2O6, as listed in the Alexandria database. Values from VASP.

```
&SYSTEM
  ibrav = 0, nat = 11, ntyp = 4
/
ATOMIC_SPECIES
O 16.00 O.upf
Ba 137.33 Ba.upf
K 39.10 K.upf
P 30.97 P.upf
CELL_PARAMETERS angstrom
6.167 0.000 0.000
-3.083 5.341 0.000
0.000 0.000 6.939
ATOMIC_POSITIONS crystal
O 0.728 0.600 0.237
O 0.871 0.272 0.237
Ba 0.000 0.000 0.000
O 0.400 0.129 0.237
K 0.667 0.333 0.644
K 0.333 0.667 0.356
P 0.333 0.667 0.826
O 0.129 0.728 0.763
O 0.600 0.871 0.763
O 0.272 0.400 0.763
P 0.667 0.333 0.174
```

Properties
The calculated density is 2714 kg/m3. As for the uncorrected formation energy: -2.139 eV/atom. As for the calculated total energy: -6.202 eV per atom.

---

[5]
First-principles (PBE-GGA) data for a relaxed structure of AsPb3, as listed in the Alexandria database. Values from VASP.

```
&SYSTEM
  ibrav = 0, nat = 16, ntyp = 2
/
ATOMIC_SPECIES
Pb 207.20 Pb.upf
As 74.92 As.upf
CELL_PARAMETERS angstrom
7.067 0.000 0.000
0.000 7.079 0.000
0.000 0.000 9.556
ATOMIC_POSITIONS crystal
Pb 0.176 0.015 0.750
Pb 0.882 0.719 0.557
Pb 0.382 0.781 0.443
Pb 0.676 0.485 0.250
Pb 0.882 0.719 0.943
As 0.089 0.622 0.250
Pb 0.618 0.219 0.943
Pb 0.324 0.515 0.750
As 0.589 0.878 0.750
Pb 0.618 0.219 0.557
As 0.911 0.378 0.750
As 0.411 0.122 0.250
Pb 0.824 0.985 0.250
Pb 0.118 0.281 0.443
Pb 0.382 0.781 0.057
Pb 0.118 0.281 0.057
```

Properties
The calculated density is 9678 kg/m3. The energy of formation from the pure elements comes out at 0.039 eV per atom. As for the excess energy over the best structure of this formula in the dataset: 0 meV/atom. As for the calculated total energy: -3.905 eV per atom.

---

[6]
First-principles (PBE-GGA) data for a relaxed structure of LiOs2CO, as listed in the Alexandria database. Values from VASP.

```
&SYSTEM
  ibrav = 0, nat = 5, ntyp = 4
/
ATOMIC_SPECIES
C 12.01 C.upf
Li 6.94 Li.upf
Os 190.23 Os.upf
O 16.00 O.upf
CELL_PARAMETERS angstrom
4.189 0.000 0.000
0.000 3.042 0.000
0.000 0.000 4.189
ATOMIC_POSITIONS crystal
C 0.500 0.500 0.500
Li 0.000 0.000 0.000
Os 0.000 0.000 0.500
O 0.000 0.500 0.000
Os 0.500 0.000 0.000
```

Properties
The calculated density is 12923 kg/m3. As for the uncorrected formation energy: 2.039 eV/atom. As for the excess energy over the best structure of this formula in the dataset: 0 meV/atom. As for the calculated total energy: -5.672 eV per atom.

---

[7]
First-principles (PBE-GGA) data for a relaxed structure of Pu2PdPt, as listed in the Alexandria database. Values from VASP.

```
&SYSTEM
  ibrav = 0, nat = 4, ntyp = 3
/
ATOMIC_SPECIES
Pu 244.00 Pu.upf
Pd 106.42 Pd.upf
Pt 195.08 Pt.upf
CELL_PARAMETERS angstrom
-0.123 -2.057 3.479
3.439 -1.082 1.831
1.103 4.948 5.315
ATOMIC_POSITIONS crystal
Pu 0.254 0.254 0.239
Pu 0.080 0.080 0.761
Pd 0.499 0.499 0.503
Pt 0.667 0.667 0.998
```

Properties
The calculated density is 13296 kg/m3. The energy of formation from the pure elements comes out at -0.436 eV per atom. As for the calculated total energy: -10.411 eV per atom.

---

[8]
First-principles (PBE-GGA) data for a relaxed structure of Mg2Pd6Pt, as listed in the Alexandria database. Values from VASP.

```
&SYSTEM
  ibrav = 0, nat = 18, ntyp = 3
/
ATOMIC_SPECIES
Pd 106.42 Pd.upf
Mg 24.30 Mg.upf
Pt 195.08 Pt.upf
CELL_PARAMETERS angstrom
-0.938 -3.361 2.058
8.057 -1.171 1.761
-0.866 4.501 6.956
ATOMIC_POSITIONS crystal
Pd 0.000 0.333 0.501
Mg 0.500 0.166 0.334
Pd 0.000 0.999 0.167
Pd 0.500 0.499 0.333
Pd 0.000 0.336 0.165
Pd 0.000 0.664 0.835
Pd 0.000 0.667 0.499
Mg 0.000 0.334 0.834
Pt 0.000 0.000 0.500
Mg 0.000 0.666 0.166
Pd 0.500 0.167 0.001
Pd 0.000 0.001 0.833
Pd 0.500 0.836 0.335
Pd 0.500 0.164 0.665
Pd 0.500 0.501 0.667
Mg 0.500 0.834 0.666
Pt 0.500 0.500 0.000
Pd 0.500 0.833 0.999
```

Properties
The calculated density is 10422 kg/m3. The energy of formation from the pure elements comes out at -0.453 eV per atom. As for the excess energy over the best structure of this formula in the dataset: 0 meV/atom. As for the calculated total energy: -4.940 eV per atom.

---

[9]
First-principles (PBE-GGA) data for a relaxed structure of CoPb3, as listed in the Alexandria database. Values from VASP.

```
&SYSTEM
  ibrav = 0, nat = 4, ntyp = 2
/
ATOMIC_SPECIES
Pb 207.20 Pb.upf
Co 58.93 Co.upf
CELL_PARAMETERS angstrom
5.915 -0.052 0.015
1.650 5.680 -0.015
-2.662 -4.320 3.039
ATOMIC_POSITIONS crystal
Pb 0.602 0.500 0.102
Co 0.934 0.000 0.934
Pb 0.964 0.316 0.648
Pb 0.332 0.684 0.648
```

Properties
The calculated density is 11070 kg/m3. The energy of formation from the pure elements comes out at 0.308 eV per atom. As for the calculated total energy: -4.249 eV per atom.

---

[10]
First-principles (PBE-GGA) data for a relaxed structure of YZrGa4, as listed in the Alexandria database. Values from VASP.

```
&SYSTEM
  ibrav = 0, nat = 6, ntyp = 3
/
ATOMIC_SPECIES
Ga 69.72 Ga.upf
Y 88.91 Y.upf
Zr 91.22 Zr.upf
CELL_PARAMETERS angstrom
-1.262 3.758 -1.292
-4.702 1.670 2.724
2.094 4.144 3.280
ATOMIC_POSITIONS crystal
Ga 0.247 0.088 0.419
Y 0.000 0.000 0.000
Zr 0.500 0.500 0.500
Ga 0.247 0.419 0.088
Ga 0.753 0.581 0.912
Ga 0.753 0.912 0.581
```

Properties
The calculated density is 6548 kg/m3. The energy of formation from the pure elements comes out at -0.548 eV per atom. As for the excess energy over the best structure of this formula in the dataset: 0 meV/atom. As for the calculated total energy: -5.068 eV per atom.

---

[11]
First-principles (PBE-GGA) data for a relaxed structure of RbTaBe, as listed in the Alexandria database. Values from VASP.

```
&SYSTEM
  ibrav = 0, nat = 6, ntyp = 3
/
ATOMIC_SPECIES
Be 9.01 Be.upf
Ta 180.95 Ta.upf
Rb 85.47 Rb.upf
CELL_PARAMETERS angstrom
-1.760 -0.835 3.168
2.726 -0.261 3.622
-2.022 12.111 0.415
ATOMIC_POSITIONS crystal
Be 0.928 0.083 0.420
Ta 0.631 0.698 0.447
Rb 0.245 0.275 0.194
Rb 0.755 0.725 0.806
Be 0.072 0.917 0.580
Ta 0.369 0.302 0.553
```

Properties
The calculated density is 4881 kg/m3. The energy of formation from the pure elements comes out at 0.626 eV per atom. As for the excess energy over the best structure of this formula in the dataset: 175 meV/atom. As for the calculated total energy: -4.889 eV per atom.

---

[12]
First-principles (PBE-GGA) data for a relaxed structure of AlTl2Zn, as listed in the Alexandria database. Values from VASP.

```
&SYSTEM
  ibrav = 0, nat = 4, ntyp = 3
/
ATOMIC_SPECIES
Tl 204.38 Tl.upf
Zn 65.41 Zn.upf
Al 26.98 Al.upf
CELL_PARAMETERS angstrom
-1.724 2.570 4.569
1.809 -3.026 4.245
2.760 1.994 -4.343
ATOMIC_POSITIONS crystal
Tl 0.000 0.000 0.000
Tl 0.250 0.750 0.500
Zn 0.500 0.500 0.000
Al 0.750 0.250 0.500
```

Properties
The calculated density is 8591 kg/m3. The energy of formation from the pure elements comes out at 0.278 eV per atom. As for the calculated total energy: -2.160 eV per atom.